# 1
Li2CoGeO4 | PBE+U | optimized geometry

Values from the calculation:
Crystal system ... orthorhombic
Space-group type ... No. 31
Final energy ... -95.0 eV per cell

Cell: 6.337 5.572 5.097 Å, 90.00 90.00 90.00°
Fractional positions:
Li: 0.249 0.166 0.000
Li: 0.251 0.834 0.500
Li: 0.749 0.834 0.500
Li: 0.751 0.166 0.000
Co: 0.000 0.336 0.501
Co: 0.500 0.664 0.001
Ge: 0.000 0.671 0.006
Ge: 0.500 0.329 0.506
O: 0.000 0.366 0.894
O: 0.000 0.669 0.356
O: 0.230 0.824 0.893
O: 0.270 0.176 0.393
O: 0.500 0.331 0.856
O: 0.500 0.634 0.394
O: 0.730 0.176 0.393
O: 0.770 0.824 0.893

=====

# 2
LiCoGeO4 | PBE+U | optimized geometry

Values from the calculation:
Crystal system ... monoclinic
Space-group type ... No. 7
Final energy ... -83.7 eV per cell

Cell: 5.142 5.726 8.079 Å, 90.00 129.54 90.00°
Fractional positions:
Li: 0.000 0.162 0.000
Li: 0.000 0.838 0.500
Co: 0.754 0.330 0.254
Co: 0.754 0.670 0.754
Ge: 0.247 0.348 0.751
Ge: 0.247 0.652 0.251
O: 0.078 0.178 0.516
O: 0.078 0.822 0.016
O: 0.367 0.369 0.229
O: 0.367 0.631 0.729
O: 0.606 0.213 0.989
O: 0.606 0.787 0.489
O: 0.925 0.372 0.773
O: 0.925 0.628 0.273